The following is a PBE-GGA calculation of crystalline LaSnBi at its relaxed geometry, from Alexandria.

The structure belongs to space group Cmcm (No. 63); the cell edges are 4.709, 17.712 and 4.525 Å and the angles 90.00°, 90.00° and 90.00°. Symmetry generates all atoms from La at (0.000, 0.102, 0.250), Sn at (0.000, 0.445, 0.250) and Bi at (0.000, 0.251, 0.750).

The crystal system is orthorhombic. Its formation energy is -71.2 kJ/mol of atoms. For the density of states at the Fermi level, the calculation gives 0.503 states/eV per atom. Its total energy is -60.1 eV/cell.